Compound: BaBe2CoF8
Source: Alexandria via LeMat-Bulk
Functional: PBE+U
Structure: optimized geometry

Cell: 4.922 4.922 7.756 Å, 93.90 93.90 65.80°
Fractional positions:
Ba: 0.000 0.000 0.000
Be: 0.371 0.371 0.714
Be: 0.629 0.629 0.286
Co: 0.000 0.000 0.500
F: 0.236 0.236 0.567
F: 0.236 0.720 0.701
F: 0.280 0.764 0.299
F: 0.312 0.312 0.903
F: 0.688 0.688 0.097
F: 0.720 0.236 0.701
F: 0.764 0.280 0.299
F: 0.764 0.764 0.433

Energy   -5.61 eV/atom
Crystal system   monoclinic